# HfHPt2Rh

HfHPt2Rh after structural relaxation (PBE, Alexandria).

Properties
size of the total moment = 1.534 μB/f.u.
E_tot = -26.52 eV per cell
energy above the most stable polymorph in this dataset = 1990.6 meV/atom

a b c (Å): 4.914 4.914 4.722
angles (deg): 90.00 90.00 90.00
Fractional positions:
Hf1 0.000 0.000 0.000
H1 0.500 0.500 0.000
Pt1 0.000 0.500 0.500
Pt2 0.500 0.000 0.500
Rh1 0.000 0.000 0.500

***

# HfHPt2Rh

HfHPt2Rh after structural relaxation (PBE, Alexandria).

Properties
size of the total moment = 0.000 μB/f.u.
E_tot = -36.00 eV per cell
energy above the most stable polymorph in this dataset = 94.5 meV/atom

a b c (Å): 3.941 3.941 4.317
angles (deg): 90.00 90.00 90.00
Fractional positions:
Hf1 0.000 0.000 0.000
H1 0.000 0.000 0.500
Pt1 0.000 0.500 0.500
Pt2 0.500 0.000 0.500
Rh1 0.500 0.500 0.000

***

# HfHPtRh2

HfHPtRh2 after structural relaxation (PBE, Alexandria).

Properties
size of the total moment = 0.000 μB/f.u.
E_tot = -37.74 eV per cell
energy above the most stable polymorph in this dataset = 0.0 meV/atom

a b c (Å): 4.047 4.047 3.967
angles (deg): 90.00 90.00 90.00
Fractional positions:
Hf1 0.000 0.000 0.000
H1 0.500 0.500 0.500
Pt1 0.500 0.500 0.000
Rh1 0.000 0.500 0.500
Rh2 0.500 0.000 0.500